Here is NdHo3Tm2Sb6 after structural relaxation from the Alexandria database. Energies are from PBE-GGA.

The value obtained for the total DFT energy (no corrections) is -5.453 eV/atom.

The space group is C2/m (No. 12) and the conventional cell measures 19.1089, 4.3854 and 8.7695 Å, with angles of 90.00, 103.24 and 90.00 degrees. The distinct sites, in fractional coordinates, are Nd at (0.0000, 0.0000, 0.0000), Ho at (0.0000, 0.0000, 0.5000), Ho at (0.1652, 0.5000, 0.8318), Tm at (0.1676, 0.5000, 0.3336), Sb at (0.0014, 0.5000, 0.2578), Sb at (0.1671, 0.0000, 0.5815) and Sb at (0.1697, 0.0000, 0.0860).

Here is NdY3Ho2Sb6 after structural relaxation from the Alexandria database. Energies are from PBE-GGA.

The value obtained for the total DFT energy (no corrections) is -5.986 eV/atom.

The space group is C2/m (No. 12) and the conventional cell measures 7.6332, 13.2238 and 7.6307 Å, with angles of 90.00, 109.49 and 90.00 degrees. The distinct sites, in fractional coordinates, are Nd at (0.0000, 0.0000, 0.0000), Y at (0.0000, 0.1643, 0.5000), Y at (0.0000, 0.5000, 0.5000), Ho at (0.0000, 0.3326, 0.0000), Sb at (0.2441, 0.5000, 0.2502) and Sb at (0.2462, 0.3305, 0.7476).

Here is Nd3Ho2Sc after structural relaxation from the Alexandria database. Energies are from PBE-GGA.

The value obtained for the total DFT energy (no corrections) is -4.728 eV/atom. The calculation puts the formation enthalpy at 0 K at 0.237 eV per atom. The relative energy among the computed polymorphs comes out at 0.196 eV/atom.

The space group is Cmc2_1 (No. 36) and the conventional cell measures 9.3775, 12.3392 and 6.8320 Å, with angles of 90.00, 90.00 and 90.00 degrees. The distinct sites, in fractional coordinates, are Nd at (0.0000, 0.1343, 0.0000), Nd at (0.1699, 0.3570, 0.7510), Ho at (0.1720, 0.3755, 0.2452) and Sc at (0.0000, 0.1586, 0.4977).

Here is Nd4Ho10Sc after structural relaxation from the Alexandria database. Energies are from PBE-GGA.

The value obtained for the total DFT energy (no corrections) is -4.485 eV/atom. The calculation puts the formation enthalpy at 0 K at 0.260 eV per atom.

The space group is I4/mmm (No. 139) and the conventional cell measures 11.3033, 11.3033 and 7.7405 Å, with angles of 90.00, 90.00 and 90.00 degrees. The distinct sites, in fractional coordinates, are Nd at (0.2293, 0.2293, 0.0000), Ho at (0.0000, 0.2074, 0.2882), Ho at (0.0000, 0.5000, 0.2500) and Sc at (0.0000, 0.0000, 0.0000).

Here is NdHo3Sc after structural relaxation from the Alexandria database. Energies are from PBE-GGA.

The value obtained for the total DFT energy (no corrections) is -4.892 eV/atom. The calculation puts the formation enthalpy at 0 K at 0.074 eV per atom. The relative energy among the computed polymorphs comes out at 0.044 eV/atom.

The space group is C2/c (No. 15) and the conventional cell measures 19.5664, 9.7200 and 6.4959 Å, with angles of 90.00, 94.06 and 90.00 degrees. The distinct sites, in fractional coordinates, are Nd at (0.0000, 0.1054, 0.2500), Nd at (0.0000, 0.2477, 0.7500), Ho at (0.0761, 0.4449, 0.3991), Ho at (0.1497, 0.1014, 0.5958), Ho at (0.1650, 0.2541, 0.0835) and Sc at (0.2165, 0.4317, 0.6787).

Here is Nd10Ho4Sc after structural relaxation from the Alexandria database. Energies are from PBE-GGA.

The value obtained for the total DFT energy (no corrections) is -4.487 eV/atom. The calculation puts the formation enthalpy at 0 K at 0.334 eV per atom.

The space group is I4/m (No. 87) and the conventional cell measures 9.8683, 9.8683 and 10.5017 Å, with angles of 90.00, 90.00 and 90.00 degrees. The distinct sites, in fractional coordinates, are Nd at (0.0000, 0.5000, 0.2500), Nd at (0.1140, 0.7887, 0.1603), Ho at (0.0576, 0.6767, 0.5000) and Sc at (0.0000, 0.0000, 0.5000).

Here is NdHo7Sc2 after structural relaxation from the Alexandria database. Energies are from PBE-GGA.

The value obtained for the total DFT energy (no corrections) is -4.286 eV/atom. The calculation puts the formation enthalpy at 0 K at 0.661 eV per atom.

The space group is Cmmm (No. 65) and the conventional cell measures 8.7603, 15.0866 and 5.5733 Å, with angles of 90.00, 90.00 and 90.00 degrees. The distinct sites, in fractional coordinates, are Nd at (0.0000, 0.0000, 0.0000), Ho at (0.0000, 0.2411, 0.0000), Ho at (0.0000, 0.5000, 0.5000), Ho at (0.1809, 0.1216, 0.5000) and Sc at (0.0000, 0.2961, 0.5000).

Here is Nd2HoSc2 after structural relaxation from the Alexandria database. Energies are from PBE-GGA.

The value obtained for the total DFT energy (no corrections) is -5.019 eV/atom. The calculation puts the formation enthalpy at 0 K at 0.336 eV per atom. The relative energy among the computed polymorphs comes out at 0.205 eV/atom.

The space group is C2/c (No. 15) and the conventional cell measures 9.4675, 12.7629 and 5.7872 Å, with angles of 90.00, 112.69 and 90.00 degrees. The distinct sites, in fractional coordinates, are Nd at (0.1841, 0.0853, 0.3739), Ho at (0.0000, 0.4318, 0.7500), Sc at (0.0000, 0.1696, 0.7500) and Sc at (0.0000, 0.3061, 0.2500).

no.,N(E_F) (states/eV/f.u.)
1,1.91
2,2.17
3,9.39
4,22.81
5,7.27
6,20.14
7,14.35
8,7.17